Entry 1:
The following is a PBE-GGA calculation of a relaxed LaHgMoRh2 crystal, from the Alexandria database.

Summary:
For the size of the total moment, the calculation gives 0.2 μB/f.u. The uncorrected energy is -22.731 eV/f.u. The value obtained for the volume is 25.91 Å³/atom. The space group is P4/mmm. As for the calculated formation energy: 1.61 eV/atom.

Geometry as CIF:
```
data_LaHgMoRh2
_chemical_formula_sum 'La1 Hg1 Mo1 Rh2'
_space_group_name_H-M_alt 'P 1'
_space_group_IT_number 1
_space_group_name_Hall 'P 1'
_cell_length_a 4.7621
_cell_length_b 4.7621
_cell_length_c 5.7127
_cell_angle_alpha 90.00
_cell_angle_beta 90.00
_cell_angle_gamma 90.00
loop_
_atom_site_label
_atom_site_fract_x
_atom_site_fract_y
_atom_site_fract_z
La1 0.0000 0.0000 0.0000
Hg1 0.0000 0.0000 0.5000
Mo1 0.5000 0.5000 0.5000
Rh1 0.0000 0.5000 0.0000
Rh2 0.5000 0.0000 0.0000
```


Entry 2:
The following is a PBE-GGA calculation of a relaxed La2HgMoRu crystal, from the Alexandria database.

Summary:
For the size of the total moment, the calculation gives 0.0 μB/f.u. The uncorrected energy is -28.480 eV/f.u. The value obtained for the volume is 28.71 Å³/atom. The space group is P4/mmm. As for the calculated formation energy: 0.36 eV/atom.

Geometry as CIF:
```
data_La2HgMoRu
_chemical_formula_sum 'La2 Hg1 Mo1 Ru1'
_space_group_name_H-M_alt 'P 1'
_space_group_IT_number 1
_space_group_name_Hall 'P 1'
_cell_length_a 5.5720
_cell_length_b 5.5720
_cell_length_c 4.6241
_cell_angle_alpha 90.00
_cell_angle_beta 90.00
_cell_angle_gamma 90.00
loop_
_atom_site_label
_atom_site_fract_x
_atom_site_fract_y
_atom_site_fract_z
La1 0.0000 0.5000 0.0000
La2 0.5000 0.0000 0.0000
Hg1 0.0000 0.0000 0.5000
Mo1 0.5000 0.5000 0.0000
Ru1 0.5000 0.5000 0.5000
```


Q: Which of these has the lowest uncorrected energy?
A: La2HgMoRu